Entry 1:
Below is Cs2HgF after structural relaxation, with properties calculated at the PBE-GGA level.

Unit cell a=4.9381 b=6.1231 c=11.7274 alpha=74.82 beta=85.09 gamma=90.01
With the nearest neighbours (Å) after each atom.
Fractional positions:
Cs  0.2093  0.4124  0.1756  1 F 2.92
Cs  0.7907  0.5876  0.8244  1 F 2.92
Cs  0.7209  0.2151  0.5697  4 F 2.92-3.07
Cs  0.2791  0.7849  0.4303  4 F 2.92-3.07
Hg  0.7345  0.9598  0.0802  2 Hg 3.05-3.07
Hg  0.2655  0.0402  0.9198  2 Hg 3.05-3.07
F  0.7515  0.7152  0.5689  5 Cs 2.92-3.07
F  0.2485  0.2848  0.4311  5 Cs 2.92-3.07

Relative energy among the computed polymorphs (meV/atom): 0
Energy (eV/cell): -19.06
SG: P-1

Entry 2:
Below is CsHgF2 after structural relaxation, with properties calculated at the PBE-GGA level.

Unit cell a=7.4339 b=8.2102 c=7.8335 alpha=116.65 beta=90.00 gamma=90.00
With the nearest neighbours (Å) after each atom.
Fractional positions:
Cs  0.1009  0.2638  0.0736  5 F 2.89-3.21
Cs  0.3991  0.7638  0.5736  5 F 2.89-3.21
Cs  0.8991  0.7362  0.9264  5 F 2.89-3.21
Cs  0.6009  0.2362  0.4264  5 F 2.89-3.21
Hg  0.5931  0.3536  0.9660  2 F 2.19-2.44
Hg  0.0931  0.1464  0.5340  2 F 2.19-2.44
Hg  0.4069  0.6464  0.0340  2 F 2.19-2.44
Hg  0.9069  0.8536  0.4660  2 F 2.19-2.44
F  0.3597  0.1537  0.7187  2 Hg 2.44-2.57
F  0.2797  0.8591  0.9788  1 Hg 2.19
F  0.8597  0.3463  0.7813  2 Hg 2.44-2.57
F  0.6403  0.8463  0.2813  2 Hg 2.44-2.57
F  0.7203  0.1409  0.0212  1 Hg 2.19
F  0.7797  0.6409  0.5212  1 Hg 2.19
F  0.2203  0.3591  0.4788  1 Hg 2.19
F  0.1403  0.6537  0.2187  2 Hg 2.44-2.57

Relative energy among the computed polymorphs (meV/atom): 0
Energy (eV/cell): -50.30
SG: P2_1/c

Entry 3:
Below is Cs4HgF6 after structural relaxation, with properties calculated at the PBE-GGA level.

Unit cell a=8.1958 b=8.1958 c=8.1958 alpha=90.77 beta=90.77 gamma=89.23
With the nearest neighbours (Å) after each atom.
Fractional positions:
Cs  0.3835  0.1165  0.2500  8 F 3.10-3.23
Cs  0.8835  0.2500  0.3835  8 F 3.10-3.23
Cs  0.2500  0.6165  0.1165  8 F 3.10-3.23
Cs  0.2500  0.2500  0.7500  6 F 2.95
Cs  0.7500  0.7500  0.2500  6 F 2.95
Cs  0.7500  0.3835  0.8835  8 F 3.10-3.23
Cs  0.1165  0.7500  0.6165  8 F 3.10-3.23
Cs  0.6165  0.8835  0.7500  8 F 3.10-3.23
Hg  0.5000  0.5000  0.5000  6 F 2.38
Hg  0.0000  0.0000  0.0000  6 F 2.38
F  0.7253  0.0603  0.0729  1 Hg 2.38
F  0.0729  0.2747  0.0603  1 Hg 2.38
F  0.5729  0.4397  0.2253  1 Hg 2.38
F  0.9397  0.0729  0.7253  1 Hg 2.38
F  0.5603  0.2253  0.5729  1 Hg 2.38
F  0.2253  0.4271  0.4397  1 Hg 2.38
F  0.7747  0.5729  0.5603  1 Hg 2.38
F  0.4397  0.7747  0.4271  1 Hg 2.38
F  0.0603  0.9271  0.2747  1 Hg 2.38
F  0.4271  0.5603  0.7747  1 Hg 2.38
F  0.9271  0.7253  0.9397  1 Hg 2.38
F  0.2747  0.9397  0.9271  1 Hg 2.38

Energy (eV/cell): -82.04
SG: R-3c